(1)
Pm6ZnOs2I3: optimized geometry, PBE.

Structure (extended XYZ):
```
12
Lattice="-1.816 7.025 0.719 1.485 -4.002 5.911 7.934 1.073 -2.764" Properties=species:S:1:pos:R:3 pbc="T T T"
I 3.802 2.048 1.933
Pm 2.014 -1.033 2.009
Pm 0.835 2.905 0.155
Os 0.386 -0.329 4.182
I 2.696 5.743 0.193
Zn 0.000 0.000 0.000
I 4.908 -1.646 3.673
Pm 6.769 1.192 3.711
Pm 5.590 5.130 1.857
Pm 6.342 1.761 -0.291
Pm 1.262 2.335 4.157
Os -0.716 3.352 2.448
```

## Properties
Raw formation energy   -692 kJ/mol of formula units
Symmetry   No. 12


(2)
Ni4H5: optimized geometry, PBE.

Structure (extended XYZ):
```
9
Lattice="2.537 0.000 0.737 1.269 4.647 0.369 -0.028 0.000 4.831" Properties=species:S:1:pos:R:3 pbc="T T T"
Ni 3.368 3.756 2.615
Ni 0.410 0.891 3.323
H 0.862 0.558 1.770
H 1.396 1.459 4.664
Ni 1.489 3.076 4.344
Ni 2.289 1.571 1.593
H 2.916 4.089 4.167
H 2.382 3.188 1.274
H 0.000 0.000 0.000
```

## Properties
Symmetry   No. 87
Relative energy among the computed polymorphs   0.00 kcal/mol of atoms


(3)
Nd4YPu3Te8: optimized geometry, PBE.

Structure (extended XYZ):
```
16
Lattice="-5.084 2.356 -6.888 -5.692 -6.619 1.937 2.092 5.978 6.224" Properties=species:S:1:pos:R:3 pbc="T T T"
Te -4.448 -1.386 2.809
Nd -1.496 4.167 -0.332
Te -2.732 -1.090 -1.202
Nd 1.046 2.989 3.112
Nd 0.000 0.000 0.000
Te -1.685 1.912 1.898
Pu -4.342 0.857 0.636
Te -5.288 0.095 -4.666
Te -5.952 2.805 2.475
Nd -2.542 1.178 -3.444
Te -3.395 1.620 5.938
Pu -5.388 -2.132 -2.475
Y -2.846 -3.310 0.969
Te -4.236 3.101 -1.536
Te -6.999 -0.197 -0.625
Pu -1.800 -0.321 4.080
```

## Properties
Raw formation energy   -2014 kJ/mol of formula units
Symmetry   No. 166


What magnetization values result from the calculations? In sequence: 0.00 0.00 17.86 Bohr magnetons per cell.